# 1
{"formula": "ZnCo2Os", "functional": "SCAN", "state": "PBEsol geometry", "n_ef_per_ev_cell": 2.33, "energy_ev_per_atom": -29.84, "e_form_mev_per_atom": 159, "lattice_angstrom": [[-0.6328, -0.2659, 2.5216], [1.5897, -1.3005, 1.6161], [4.2861, 6.4823, 3.1134]], "species": ["Co", "Os", "Zn", "Co"], "fractional_positions": [[0.7467, 0.7467, 0.7599], [0.4956, 0.4956, 0.5132], [0.2540, 0.2540, 0.2379], [0.0037, 0.0037, 0.9889]]}

***

# 2
{"formula": "LiNiRh2", "functional": "SCAN", "state": "PBEsol geometry", "de_polymorph_mev_per_atom": 5, "n_ef_per_ev_cell": 2.58, "energy_ev_per_atom": -21.59, "e_form_mev_per_atom": -62, "lattice_angstrom": [[2.6233, 0.0000, 0.0000], [1.3116, 2.2718, 0.0000], [1.3116, 0.7573, 8.5146]], "species": ["Ni", "Rh", "Li", "Rh"], "fractional_positions": [[0.0000, 0.0000, 0.0000], [0.2528, 0.2528, 0.2415], [0.5000, 0.5000, 0.5000], [0.7472, 0.7472, 0.7585]]}

***

Question: Number 2 is which compound?
Answer: LiNiRh2

***

Please write out number 1 again, unchanged.
{"formula": "ZnCo2Os", "functional": "SCAN", "state": "PBEsol geometry", "n_ef_per_ev_cell": 2.33, "energy_ev_per_atom": -29.84, "e_form_mev_per_atom": 159, "lattice_angstrom": [[-0.6328, -0.2659, 2.5216], [1.5897, -1.3005, 1.6161], [4.2861, 6.4823, 3.1134]], "species": ["Co", "Os", "Zn", "Co"], "fractional_positions": [[0.7467, 0.7467, 0.7599], [0.4956, 0.4956, 0.5132], [0.2540, 0.2540, 0.2379], [0.0037, 0.0037, 0.9889]]}

***

Question: Which formula does entry 2 have?
Answer: LiNiRh2